First-principles (PBEsol) data for an optimized crystal structure of HfBeMoO2, as listed in Alexandria.

Summary:
The calculation puts the total magnetic moment at 2.55 μB per cell.

```
data_HfBeMoO2
_chemical_formula_sum 'Hf1 Be1 Mo1 O2'
_cell_length_a 3.899
_cell_length_b 3.899
_cell_length_c 5.115
_cell_angle_alpha 90.00
_cell_angle_beta 90.00
_cell_angle_gamma 90.00
_symmetry_space_group_name_H-M 'P 4/m m m'
_symmetry_Int_Tables_number 123
_symmetry_space_group_name_Hall '-P 4 2'
loop_
_atom_site_label
_atom_site_fract_x
_atom_site_fract_y
_atom_site_fract_z
_atom_site_occupancy
Hf1 0.000 0.000 0.000 1
Be1 0.000 0.000 0.500 1
Mo1 0.500 0.500 0.500 1
O1 0.000 0.500 0.000 1
```



First-principles (PBEsol) data for an optimized crystal structure of HfBeN2, as listed in Alexandria.

Summary:
The calculation puts the total magnetic moment at 0.00 μB per cell.

```
data_HfBeN2
_chemical_formula_sum 'Hf3 Be3 N6'
_cell_length_a 3.0394
_cell_length_b 3.0394
_cell_length_c 16.7070
_cell_angle_alpha 90.00
_cell_angle_beta 90.00
_cell_angle_gamma 120.00
_symmetry_space_group_name_H-M 'R -3 m'
_symmetry_Int_Tables_number 166
_symmetry_space_group_name_Hall '-R 3 2"'
loop_
_atom_site_label
_atom_site_fract_x
_atom_site_fract_y
_atom_site_fract_z
_atom_site_occupancy
Hf1 0.0000 0.0000 0.0000 1
Be1 0.0000 0.0000 0.5000 1
N1 0.0000 0.0000 0.1187 1
```



First-principles (PBEsol) data for an optimized crystal structure of HfBeNO2, as listed in Alexandria.

Summary:
The calculation puts the total magnetic moment at 0.94 μB per cell.

```
data_HfBeNO2
_chemical_formula_sum 'Hf1 Be1 N1 O2'
_cell_length_a 3.988
_cell_length_b 3.988
_cell_length_c 4.163
_cell_angle_alpha 90.00
_cell_angle_beta 90.00
_cell_angle_gamma 90.00
_symmetry_space_group_name_H-M 'P 4/m m m'
_symmetry_Int_Tables_number 123
_symmetry_space_group_name_Hall '-P 4 2'
loop_
_atom_site_label
_atom_site_fract_x
_atom_site_fract_y
_atom_site_fract_z
_atom_site_occupancy
Hf1 0.000 0.000 0.000 1
Be1 0.500 0.500 0.500 1
N1 0.000 0.000 0.500 1
O1 0.000 0.500 0.000 1
```



First-principles (PBEsol) data for an optimized crystal structure of Hf2BeNb, as listed in Alexandria.

Summary:
The calculation puts the total magnetic moment at 0.00 μB per cell.

```
data_Hf2BeNb
_chemical_formula_sum 'Hf2 Be1 Nb1'
_cell_length_a 4.191
_cell_length_b 4.191
_cell_length_c 3.956
_cell_angle_alpha 90.00
_cell_angle_beta 90.00
_cell_angle_gamma 90.00
_symmetry_space_group_name_H-M 'P 4/m m m'
_symmetry_Int_Tables_number 123
_symmetry_space_group_name_Hall '-P 4 2'
loop_
_atom_site_label
_atom_site_fract_x
_atom_site_fract_y
_atom_site_fract_z
_atom_site_occupancy
Hf1 0.000 0.500 0.000 1
Be1 0.000 0.000 0.500 1
Nb1 0.500 0.500 0.500 1
```



First-principles (PBEsol) data for an optimized crystal structure of Hf3BeNb, as listed in Alexandria.

Summary:
The calculation puts the total magnetic moment at 0.00 μB per cell.

```
data_Hf3BeNb
_chemical_formula_sum 'Hf3 Be1 Nb1'
_cell_length_a 4.596
_cell_length_b 4.596
_cell_length_c 4.596
_cell_angle_alpha 90.00
_cell_angle_beta 90.00
_cell_angle_gamma 90.00
_symmetry_space_group_name_H-M 'P m -3 m'
_symmetry_Int_Tables_number 221
_symmetry_space_group_name_Hall '-P 4 2 3'
loop_
_atom_site_label
_atom_site_fract_x
_atom_site_fract_y
_atom_site_fract_z
_atom_site_occupancy
Hf1 0.000 0.000 0.500 1
Be1 0.000 0.000 0.000 1
Nb1 0.500 0.500 0.500 1
```



First-principles (PBEsol) data for an optimized crystal structure of HfBeNb2Os, as listed in Alexandria.

Summary:
The calculation puts the total magnetic moment at 0.00 μB per cell.

```
data_HfBeNb2Os
_chemical_formula_sum 'Hf1 Be1 Nb2 Os1'
_cell_length_a 4.784
_cell_length_b 4.784
_cell_length_c 4.935
_cell_angle_alpha 90.00
_cell_angle_beta 90.00
_cell_angle_gamma 90.00
_symmetry_space_group_name_H-M 'P 4/m m m'
_symmetry_Int_Tables_number 123
_symmetry_space_group_name_Hall '-P 4 2'
loop_
_atom_site_label
_atom_site_fract_x
_atom_site_fract_y
_atom_site_fract_z
_atom_site_occupancy
Hf1 0.000 0.000 0.000 1
Be1 0.500 0.500 0.000 1
Nb1 0.000 0.500 0.500 1
Os1 0.000 0.000 0.500 1
```



First-principles (PBEsol) data for an optimized crystal structure of Hf2Be2Ni, as listed in Alexandria.

Summary:
The calculation puts the total magnetic moment at 0.00 μB per cell.

```
data_Hf2Be2Ni
_chemical_formula_sum 'Hf4 Be4 Ni2'
_cell_length_a 6.147
_cell_length_b 6.147
_cell_length_c 3.637
_cell_angle_alpha 90.00
_cell_angle_beta 90.00
_cell_angle_gamma 90.00
_symmetry_space_group_name_H-M 'P 4/m b m'
_symmetry_Int_Tables_number 127
_symmetry_space_group_name_Hall '-P 4 2ab'
loop_
_atom_site_label
_atom_site_fract_x
_atom_site_fract_y
_atom_site_fract_z
_atom_site_occupancy
Hf1 0.174 0.326 0.000 1
Be1 0.125 0.625 0.500 1
Ni1 0.000 0.000 0.500 1
```



First-principles (PBEsol) data for an optimized crystal structure of Hf2BeNiSb, as listed in Alexandria.

Summary:
The calculation puts the total magnetic moment at 0.00 μB per cell.

```
data_Hf2BeNiSb
_chemical_formula_sum 'Hf2 Be1 Ni1 Sb1'
_cell_length_a 4.722
_cell_length_b 4.722
_cell_length_c 4.563
_cell_angle_alpha 90.00
_cell_angle_beta 90.00
_cell_angle_gamma 90.00
_symmetry_space_group_name_H-M 'P 4/m m m'
_symmetry_Int_Tables_number 123
_symmetry_space_group_name_Hall '-P 4 2'
loop_
_atom_site_label
_atom_site_fract_x
_atom_site_fract_y
_atom_site_fract_z
_atom_site_occupancy
Hf1 0.000 0.500 0.000 1
Be1 0.000 0.000 0.500 1
Ni1 0.500 0.500 0.000 1
Sb1 0.500 0.500 0.500 1
```



Across the entries above, E_tot takes the values -7.764, -7.612, -7.479, -8.885, -8.688, -8.432, -7.283, -6.639 eV/atom, respectively.